[1]
First-principles (PBE) data for crystalline Pm3TlNi at its relaxed geometry, as listed in Alexandria via LeMat-Bulk.

Summary:
- size of the total moment (μB/atom) = 0.0000
- ΔE_f (eV per atom) = -0.098

Geometry as CIF:
```
data_Pm3TlNi
_chemical_formula_sum 'Pm6 Tl2 Ni2'
_space_group_name_H-M_alt 'P -1'
_space_group_IT_number 2
_space_group_name_Hall '-P 1'
_cell_length_a 7.218
_cell_length_b 7.231
_cell_length_c 7.774
_cell_angle_alpha 62.44
_cell_angle_beta 62.39
_cell_angle_gamma 60.07
loop_
_atom_site_label
_atom_site_type_symbol
_atom_site_fract_x
_atom_site_fract_y
_atom_site_fract_z
_atom_site_occupancy
Pm1 Pm 0.090 0.092 0.227 1
Pm2 Pm 0.408 0.410 0.773 1
Pm3 Pm 0.409 0.908 0.773 1
Tl1 Tl 0.099 0.600 0.203 1
Ni1 Ni 0.331 0.831 0.505 1
```

[2]
First-principles (PBE) data for crystalline CrAuCl2 at its relaxed geometry, as listed in Alexandria via LeMat-Bulk.

Summary:
- size of the total moment (μB/atom) = 0.8342
- E_tot (eV/cell) = -36.3

Geometry as CIF:
```
data_CrAuCl2
_chemical_formula_sum 'Cr2 Au2 Cl4'
_space_group_name_H-M_alt 'I m m m'
_space_group_IT_number 71
_space_group_name_Hall '-I 2 2'
_cell_length_a 3.091
_cell_length_b 5.113
_cell_length_c 12.490
_cell_angle_alpha 90.00
_cell_angle_beta 90.00
_cell_angle_gamma 90.00
loop_
_atom_site_label
_atom_site_type_symbol
_atom_site_fract_x
_atom_site_fract_y
_atom_site_fract_z
_atom_site_occupancy
Cr1 Cr 0.000 0.000 0.000 1
Au1 Au 0.000 0.000 0.500 1
Cl1 Cl 0.000 0.500 0.359 1
```

[3]
First-principles (PBE) data for crystalline BeGeSbW at its relaxed geometry, as listed in Alexandria via LeMat-Bulk.

Summary:
- size of the total moment (μB/atom) = 0.0000
- E_tot (eV/cell) = -47.4

Geometry as CIF:
```
data_BeGeSbW
_chemical_formula_sum 'Be2 Ge2 Sb2 W2'
_space_group_name_H-M_alt 'A m m 2'
_space_group_IT_number 38
_space_group_name_Hall 'A 2 -2'
_cell_length_a 3.561
_cell_length_b 3.636
_cell_length_c 11.250
_cell_angle_alpha 90.00
_cell_angle_beta 90.00
_cell_angle_gamma 90.00
loop_
_atom_site_label
_atom_site_type_symbol
_atom_site_fract_x
_atom_site_fract_y
_atom_site_fract_z
_atom_site_occupancy
Be1 Be 0.000 0.000 0.000 1
Ge1 Ge 0.000 0.000 0.384 1
Sb1 Sb 0.500 0.000 0.143 1
W1 W 0.500 0.000 0.833 1
```

[4]
First-principles (PBE) data for crystalline La2NdBi3 at its relaxed geometry, as listed in Alexandria via LeMat-Bulk.

Summary:
- size of the total moment (μB/atom) = 0.0000
- ΔE_f (eV per atom) = -1.020

Geometry as CIF:
```
data_La2NdBi3
_chemical_formula_sum 'La4 Nd2 Bi6'
_space_group_name_H-M_alt 'I m m m'
_space_group_IT_number 71
_space_group_name_Hall '-I 2 2'
_cell_length_a 4.678
_cell_length_b 6.607
_cell_length_c 14.015
_cell_angle_alpha 90.00
_cell_angle_beta 90.00
_cell_angle_gamma 90.00
loop_
_atom_site_label
_atom_site_type_symbol
_atom_site_fract_x
_atom_site_fract_y
_atom_site_fract_z
_atom_site_occupancy
La1 La 0.000 0.000 0.167 1
Nd1 Nd 0.000 0.000 0.500 1
Bi1 Bi 0.000 0.500 0.164 1
Bi2 Bi 0.000 0.500 0.500 1
```

[5]
First-principles (PBE) data for crystalline ZnWBr2 at its relaxed geometry, as listed in Alexandria via LeMat-Bulk.

Summary:
- size of the total moment (μB/atom) = 0.2895
- E_tot (eV/cell) = -33.3

Geometry as CIF:
```
data_ZnWBr2
_chemical_formula_sum 'Zn2 W2 Br4'
_space_group_name_H-M_alt 'I m m m'
_space_group_IT_number 71
_space_group_name_Hall '-I 2 2'
_cell_length_a 3.092
_cell_length_b 4.601
_cell_length_c 15.181
_cell_angle_alpha 90.00
_cell_angle_beta 90.00
_cell_angle_gamma 90.00
loop_
_atom_site_label
_atom_site_type_symbol
_atom_site_fract_x
_atom_site_fract_y
_atom_site_fract_z
_atom_site_occupancy
Zn1 Zn 0.000 0.000 0.000 1
W1 W 0.000 0.000 0.500 1
Br1 Br 0.000 0.500 0.141 1
```

[6]
First-principles (PBE) data for crystalline Y2InGa2 at its relaxed geometry, as listed in Alexandria via LeMat-Bulk.

Summary:
- size of the total moment (μB/atom) = 0.0000
- ΔE_f (eV per atom) = -0.324

Geometry as CIF:
```
data_Y2InGa2
_chemical_formula_sum 'Y4 In2 Ga4'
_space_group_name_H-M_alt 'P 4/m b m'
_space_group_IT_number 127
_space_group_name_Hall '-P 4 2ab'
_cell_length_a 8.401
_cell_length_b 8.401
_cell_length_c 3.588
_cell_angle_alpha 90.00
_cell_angle_beta 90.00
_cell_angle_gamma 90.00
loop_
_atom_site_label
_atom_site_type_symbol
_atom_site_fract_x
_atom_site_fract_y
_atom_site_fract_z
_atom_site_occupancy
Y1 Y 0.174 0.326 0.000 1
In1 In 0.000 0.000 0.000 1
Ga1 Ga 0.124 0.624 0.500 1
```

Repeat the fifth record exactly.
First-principles (PBE) data for crystalline ZnWBr2 at its relaxed geometry, as listed in Alexandria via LeMat-Bulk.

Summary:
- size of the total moment (μB/atom) = 0.2895
- E_tot (eV/cell) = -33.3

Geometry as CIF:
```
data_ZnWBr2
_chemical_formula_sum 'Zn2 W2 Br4'
_space_group_name_H-M_alt 'I m m m'
_space_group_IT_number 71
_space_group_name_Hall '-I 2 2'
_cell_length_a 3.092
_cell_length_b 4.601
_cell_length_c 15.181
_cell_angle_alpha 90.00
_cell_angle_beta 90.00
_cell_angle_gamma 90.00
loop_
_atom_site_label
_atom_site_type_symbol
_atom_site_fract_x
_atom_site_fract_y
_atom_site_fract_z
_atom_site_occupancy
Zn1 Zn 0.000 0.000 0.000 1
W1 W 0.000 0.000 0.500 1
Br1 Br 0.000 0.500 0.141 1
```